# 1
The following is a PBE calculation of an optimized crystal structure of TeS5Cl, from Alexandria.

```
TeS5Cl
1.0
3.909 0.000 0.000
-1.752 6.918 0.000
-0.027 -3.473 7.697
Te S Cl
1 5 1
Direct
0.000 0.000 0.000 Te
0.089 0.866 0.512 S
0.243 0.224 0.357 S
0.531 0.226 0.971 S
0.773 0.752 0.651 S
0.944 0.139 0.516 S
0.281 0.705 0.000 Cl
```

Output
uncorrected formation energy: 0.02 eV/atom

---

# 2
The following is a PBE calculation of an optimized crystal structure of BaLa2AlFe, from Alexandria.

```
BaLa2AlFe
1.0
5.367 0.000 0.000
0.000 5.367 0.000
0.000 0.000 5.104
Ba La Al Fe
1 2 1 1
Direct
0.000 0.000 0.000 Ba
0.000 0.500 0.500 La
0.500 0.000 0.500 La
0.500 0.500 0.000 Al
0.500 0.500 0.500 Fe
```

Output
ΔH_f (0 K): -8 meV per atom